! GGA+U MoAuN2F, optimized geometry; values from VASP
! - total moment (μB/f.u.) = 2.21
! - excess energy over the best structure of this formula in the dataset (eV per atom) = 0.880
! - crystal system = tetragonal
! - density of states at the Fermi level (states/eV per atom) = 0.401
! - final energy (eV/atom) = -4.469
&SYSTEM
  ibrav = 0, nat = 5, ntyp = 4
/
ATOMIC_SPECIES
Mo 95.94 Mo.upf
Au 196.97 Au.upf
N 14.01 N.upf
F 19.00 F.upf
CELL_PARAMETERS angstrom
4.098 0.000 0.000
0.000 4.098 0.000
0.000 0.000 4.298
ATOMIC_POSITIONS crystal
Mo 0.000 0.000 0.000
Au 0.500 0.500 0.500
N 0.000 0.500 0.500
N 0.500 0.000 0.500
F 0.500 0.500 0.000